A geometry-optimized Ti3MnPt structure. Source: the Alexandria database, functional PBE.

Geometry as POSCAR:
```
Ti3MnPt
1.0
-3.273 -3.462 -0.590
2.544 -1.782 -3.661
2.421 -2.809 3.050
Mn Pt Ti
1 1 3
Direct
0.500 0.500 0.500 Mn
0.000 0.000 0.000 Pt
0.000 0.500 0.000 Ti
0.000 0.000 0.500 Ti
0.500 0.000 0.000 Ti
```

The volume comes out at 110.7 Å³/cell. The calculation puts the formation energy at 559 meV/atom. Its uncorrected energy is -7.220 eV/atom. The polymorph energy (0 for the lowest one) comes out at 0.392 eV/atom.